The following is a DFT calculation (PBE-GGA) of a relaxed structure of KZrZnBi2.

```
KZrZnBi2
1.0
-3.299 1.759 -4.046
-1.985 -4.847 -0.488
-3.891 1.221 3.704
K Zn Bi Zr
1 1 2 1
Direct
0.000 0.500 0.000
0.000 0.000 0.000
0.000 0.000 0.500
0.500 0.000 0.000
0.500 0.500 0.500
```

Values from the calculation:
The calculation puts the volume at 31.9 Å³ per atom. The total energy is -3.096 eV per atom. The calculation puts the density of states at the Fermi level at 0.946 states/eV per atom.